(1)
The following is a DFT calculation (GGA-PBE) of a geometry-optimized TlNiS2N structure.

Polymorph energy (0 for the lowest one) = 1293.3 meV/atom
Formation energy without anion corrections = 867 kJ/mol of formula units
N(E_F) = 2.155 states/eV per atom
Final energy = -3.15 eV/atom

Unit cell a=5.176 b=5.176 c=4.083 alpha=90.00 beta=90.00 gamma=90.00
Sites, in units of the cell vectors:
1 Tl 0.000 0.000 0.000
2 Ni 0.500 0.500 0.500
3 S 0.000 0.500 0.000
4 S 0.500 0.000 0.000
5 N 0.000 0.000 0.500

=====

(2)
The following is a DFT calculation (GGA-PBE) of a geometry-optimized Sr3HfRh structure.

Polymorph energy (0 for the lowest one) = 0.0 meV/atom
Formation energy from the elements = 0.5409 eV/atom
N(E_F) = 1.940 states/eV per atom
Final energy = -3.93 eV/atom

Unit cell a=5.702 b=5.702 c=5.702 alpha=90.00 beta=90.00 gamma=90.00
Sites, in units of the cell vectors:
1 Sr 0.000 0.000 0.500
2 Sr 0.000 0.500 0.000
3 Sr 0.500 0.000 0.000
4 Hf 0.500 0.500 0.500
5 Rh 0.000 0.000 0.000

=====

(3)
The following is a DFT calculation (GGA-PBE) of a geometry-optimized AcGa3CoNi structure.

Formation energy from the elements = -0.3378 eV/atom
N(E_F) = 0.921 states/eV per atom
Final energy = -4.68 eV/atom

Unit cell a=6.415 b=6.415 c=6.529 alpha=90.00 beta=90.00 gamma=118.17
Sites, in units of the cell vectors:
1 Ac 0.248 0.752 0.750
2 Ac 0.752 0.248 0.250
3 Ga 0.247 0.753 0.250
4 Ga 0.250 0.250 0.000
5 Ga 0.250 0.250 0.500
6 Ga 0.750 0.750 0.000
7 Ga 0.750 0.750 0.500
8 Ga 0.753 0.247 0.750
9 Co 0.045 0.955 0.250
10 Co 0.955 0.045 0.750
11 Ni 0.453 0.547 0.250
12 Ni 0.547 0.453 0.750

=====

(4)
The following is a DFT calculation (GGA-PBE) of a geometry-optimized TaHPb2 structure.

Polymorph energy (0 for the lowest one) = 367.6 meV/atom
N(E_F) = 1.196 states/eV per atom
Final energy = -4.51 eV/atom

Unit cell a=4.933 b=4.933 c=4.933 alpha=60.00 beta=60.00 gamma=60.00
Sites, in units of the cell vectors:
1 Ta 0.000 0.000 0.000
2 H 0.500 0.500 0.500
3 Pb 0.250 0.250 0.250
4 Pb 0.750 0.750 0.750

=====

(5)
The following is a DFT calculation (GGA-PBE) of a geometry-optimized CePr3Te6 structure.

Polymorph energy (0 for the lowest one) = 44.5 meV/atom
Formation energy without anion corrections = -1312 kJ/mol of formula units
N(E_F) = 0.627 states/eV per atom
Final energy = -5.27 eV/atom

Unit cell a=7.503 b=8.427 c=13.787 alpha=90.00 beta=122.86 gamma=90.00
Sites, in units of the cell vectors:
1 Ce 0.000 0.000 0.000
2 Ce 0.000 0.500 0.500
3 Pr 0.304 0.119 0.750
4 Pr 0.304 0.381 0.250
5 Pr 0.500 0.000 0.500
6 Pr 0.500 0.500 0.000
7 Pr 0.696 0.619 0.750
8 Pr 0.696 0.881 0.250
9 Te 0.083 0.056 0.249
10 Te 0.083 0.444 0.749
11 Te 0.242 0.677 0.084
12 Te 0.242 0.823 0.584
13 Te 0.422 0.176 0.083
14 Te 0.422 0.324 0.583
15 Te 0.578 0.676 0.417
16 Te 0.578 0.824 0.917
17 Te 0.758 0.177 0.416
18 Te 0.758 0.323 0.916
19 Te 0.917 0.556 0.251
20 Te 0.917 0.944 0.751

=====

(6)
The following is a DFT calculation (GGA-PBE) of a geometry-optimized Nd5Hg2Au2 structure.

Formation energy from the elements = -0.5208 eV/atom
N(E_F) = 1.272 states/eV per atom
Final energy = -3.96 eV/atom

Unit cell a=9.138 b=9.138 c=8.400 alpha=90.00 beta=90.00 gamma=48.18
Sites, in units of the cell vectors:
1 Nd 0.000 0.000 0.000
2 Nd 0.033 0.698 0.675
3 Nd 0.198 0.533 0.175
4 Nd 0.302 0.967 0.675
5 Nd 0.467 0.802 0.175
6 Nd 0.500 0.500 0.500
7 Nd 0.533 0.198 0.825
8 Nd 0.698 0.033 0.325
9 Nd 0.802 0.467 0.825
10 Nd 0.967 0.302 0.325
11 Hg 0.212 0.212 0.000
12 Hg 0.288 0.288 0.500
13 Hg 0.712 0.712 0.500
14 Hg 0.788 0.788 0.000
15 Au 0.123 0.877 0.365
16 Au 0.377 0.623 0.865
17 Au 0.623 0.377 0.135
18 Au 0.877 0.123 0.635

=====

(7)
The following is a DFT calculation (GGA-PBE) of a geometry-optimized HfZrRh structure.

Polymorph energy (0 for the lowest one) = 0.0 meV/atom
Formation energy from the elements = -0.6027 eV/atom
N(E_F) = 0.752 states/eV per atom
Final energy = -9.22 eV/atom

Unit cell a=5.795 b=5.795 c=5.795 alpha=147.00 beta=147.00 gamma=47.36
Sites, in units of the cell vectors:
1 Hf 0.000 0.000 0.000
2 Zr 0.690 0.690 0.000
3 Rh 0.351 0.351 0.000

=====

(8)
The following is a DFT calculation (GGA-PBE) of a geometry-optimized Ba5Pd6 structure.

Formation energy from the elements = -0.5233 eV/atom
N(E_F) = 0.264 states/eV per atom
Final energy = -4.23 eV/atom

Unit cell a=15.925 b=15.925 c=4.541 alpha=90.00 beta=90.00 gamma=163.19
Sites, in units of the cell vectors:
1 Ba 0.000 0.000 0.000
2 Ba 0.197 0.803 0.500
3 Ba 0.387 0.613 0.000
4 Ba 0.613 0.387 0.000
5 Ba 0.803 0.197 0.500
6 Pd 0.087 0.913 0.500
7 Pd 0.276 0.724 0.000
8 Pd 0.458 0.542 0.500
9 Pd 0.542 0.458 0.500
10 Pd 0.724 0.276 0.000
11 Pd 0.913 0.087 0.500

=====

(9)
The following is a DFT calculation (GGA-PBE) of a geometry-optimized RbBaSr2 structure.

Polymorph energy (0 for the lowest one) = 30.4 meV/atom
Formation energy from the elements = 0.1020 eV/atom
N(E_F) = 1.282 states/eV per atom
Final energy = -1.46 eV/atom

Unit cell a=4.987 b=4.987 c=10.295 alpha=90.00 beta=90.00 gamma=90.00
Sites, in units of the cell vectors:
1 Rb 0.000 0.000 0.000
2 Ba 0.000 0.000 0.500
3 Sr 0.500 0.500 0.275
4 Sr 0.500 0.500 0.725

=====

(10)
The following is a DFT calculation (GGA-PBE) of a geometry-optimized Ce2LuNi structure.

Formation energy from the elements = -0.0581 eV/atom
N(E_F) = 2.462 states/eV per atom
Final energy = -5.60 eV/atom

Unit cell a=3.556 b=3.556 c=7.839 alpha=90.00 beta=90.00 gamma=90.00
Sites, in units of the cell vectors:
1 Ce 0.000 0.000 0.188
2 Ce 0.000 0.000 0.812
3 Lu 0.500 0.500 0.500
4 Ni 0.500 0.500 0.000

=====

(11)
The following is a DFT calculation (GGA-PBE) of a geometry-optimized PuZn2Au3 structure.

Polymorph energy (0 for the lowest one) = 0.0 meV/atom
Formation energy from the elements = -0.3157 eV/atom
N(E_F) = 2.769 states/eV per atom
Final energy = -4.77 eV/atom

Unit cell a=4.554 b=4.554 c=13.167 alpha=90.00 beta=90.00 gamma=120.00
Sites, in units of the cell vectors:
1 Pu 0.000 0.000 0.250
2 Pu 0.000 0.000 0.750
3 Zn 0.333 0.667 0.086
4 Zn 0.333 0.667 0.414
5 Zn 0.667 0.333 0.586
6 Zn 0.667 0.333 0.914
7 Au 0.000 0.000 0.000
8 Au 0.000 0.000 0.500
9 Au 0.333 0.667 0.626
10 Au 0.333 0.667 0.874
11 Au 0.667 0.333 0.126
12 Au 0.667 0.333 0.374

=====

(12)
The following is a DFT calculation (GGA-PBE) of a geometry-optimized Ac2Y5 structure.

Formation energy from the elements = 0.3208 eV/atom
N(E_F) = 1.777 states/eV per atom
Final energy = -5.47 eV/atom

Unit cell a=12.028 b=12.028 c=3.592 alpha=90.00 beta=90.00 gamma=90.00
Sites, in units of the cell vectors:
1 Ac 0.194 0.306 0.000
2 Ac 0.306 0.806 0.000
3 Ac 0.694 0.194 0.000
4 Ac 0.806 0.694 0.000
5 Y 0.000 0.500 0.500
6 Y 0.043 0.798 0.500
7 Y 0.202 0.043 0.500
8 Y 0.298 0.543 0.500
9 Y 0.457 0.298 0.500
10 Y 0.500 0.000 0.500
11 Y 0.543 0.702 0.500
12 Y 0.702 0.457 0.500
13 Y 0.798 0.957 0.500
14 Y 0.957 0.202 0.500

=====

(13)
The following is a DFT calculation (GGA-PBE) of a geometry-optimized Ba4Ag2H structure.

Polymorph energy (0 for the lowest one) = 26.3 meV/atom
N(E_F) = 0.754 states/eV per atom
Final energy = -2.60 eV/atom

Unit cell a=9.829 b=9.829 c=9.829 alpha=148.17 beta=148.17 gamma=45.63
Sites, in units of the cell vectors:
1 Ba 0.000 0.500 0.500
2 Ba 0.184 0.184 0.000
3 Ba 0.500 0.000 0.500
4 Ba 0.816 0.816 0.000
5 Ag 0.373 0.373 0.000
6 Ag 0.627 0.627 0.000
7 H 0.000 0.000 0.000

=====

(14)
The following is a DFT calculation (GGA-PBE) of a geometry-optimized LiPa2TiN4 structure.

Formation energy without anion corrections = -1004 kJ/mol of formula units
N(E_F) = 0.636 states/eV per atom
Final energy = -9.06 eV/atom

Unit cell a=5.446 b=3.429 c=5.963 alpha=90.00 beta=111.40 gamma=90.00
Sites, in units of the cell vectors:
1 Li 0.000 0.000 0.000
2 Pa 0.500 0.000 0.500
3 Pa 0.500 0.500 0.000
4 Ti 0.000 0.500 0.500
5 N 0.239 0.000 0.742
6 N 0.257 0.500 0.265
7 N 0.743 0.500 0.735
8 N 0.761 0.000 0.258

=====

(15)
The following is a DFT calculation (GGA-PBE) of a geometry-optimized Pm2Pr5Th2 structure.

Formation energy from the elements = 0.0573 eV/atom
N(E_F) = 1.636 states/eV per atom
Final energy = -5.30 eV/atom

Unit cell a=6.350 b=6.381 c=8.174 alpha=83.02 beta=75.02 gamma=80.15
Sites, in units of the cell vectors:
1 Pm 0.222 0.446 0.109
2 Pm 0.778 0.554 0.891
3 Pr 0.000 0.000 0.000
4 Pr 0.116 0.226 0.552
5 Pr 0.449 0.885 0.231
6 Pr 0.551 0.115 0.769
7 Pr 0.884 0.774 0.448
8 Th 0.338 0.659 0.665
9 Th 0.662 0.341 0.335

=====

(16)
The following is a DFT calculation (GGA-PBE) of a geometry-optimized RbNa2NpI8 structure.

Formation energy without anion corrections = -1097 kJ/mol of formula units
N(E_F) = 0.520 states/eV per atom
Final energy = -3.36 eV/atom

Unit cell a=6.776 b=7.846 c=10.544 alpha=90.02 beta=90.12 gamma=91.54
Sites, in units of the cell vectors:
1 Rb 0.000 0.000 0.000
2 Na 0.499 0.500 0.727
3 Na 0.501 0.500 0.273
4 Np 0.000 0.000 0.500
5 I 0.244 0.328 0.500
6 I 0.246 0.850 0.294
7 I 0.247 0.851 0.707
8 I 0.248 0.481 0.000
9 I 0.752 0.519 0.000
10 I 0.753 0.149 0.293
11 I 0.754 0.150 0.706
12 I 0.756 0.672 0.500

=====

(17)
The following is a DFT calculation (GGA-PBE) of a geometry-optimized ZnCd3O structure.

Polymorph energy (0 for the lowest one) = 591.5 meV/atom
Formation energy without anion corrections = 264 kJ/mol of formula units
N(E_F) = 1.221 states/eV per atom
Final energy = -1.25 eV/atom

Unit cell a=5.033 b=5.033 c=5.033 alpha=90.00 beta=90.00 gamma=90.00
Sites, in units of the cell vectors:
1 Zn 0.000 0.000 0.000
2 Cd 0.000 0.000 0.500
3 Cd 0.000 0.500 0.000
4 Cd 0.500 0.000 0.000
5 O 0.500 0.500 0.500

=====

(18)
The following is a DFT calculation (GGA-PBE) of a geometry-optimized SrAcAgGe structure.

Formation energy from the elements = -0.4752 eV/atom
N(E_F) = 0.362 states/eV per atom
Final energy = -3.79 eV/atom

Unit cell a=5.518 b=5.518 c=5.518 alpha=60.00 beta=60.00 gamma=60.00
Sites, in units of the cell vectors:
1 Sr 0.000 0.000 0.000
2 Ac 0.500 0.500 0.500
3 Ag 0.750 0.750 0.750
4 Ge 0.250 0.250 0.250

=====

(19)
The following is a DFT calculation (GGA-PBE) of a geometry-optimized ScTiC2 structure.

Formation energy from the elements = -0.2892 eV/atom
N(E_F) = 0.553 states/eV per atom
Final energy = -8.46 eV/atom

Unit cell a=5.205 b=5.205 c=5.205 alpha=38.10 beta=38.10 gamma=38.10
Sites, in units of the cell vectors:
1 Sc 0.000 0.000 0.000
2 Ti 0.818 0.818 0.818
3 C 0.430 0.430 0.430
4 C 0.546 0.546 0.546